SrIn4Ni after structural relaxation, computed with PBEsol.

mass density = 7.34 g/cm³
total DFT energy (no corrections) = -3.68 eV/atom
N(E_F) = 2.3 states/eV/f.u.

Cell lengths 4.4625, 16.9661, 7.2366 Å; angles 90.00, 90.00, 90.00 degrees
Space group Cmcm (No. 63)
Inequivalent atoms, fractional coordinates:
Sr 0.0000 0.1212 0.2500 x4
In 0.0000 0.0755 0.7500 x4
In 0.0000 0.3103 0.0495 x8
In 0.0000 0.5000 0.0000 x4
Ni 0.0000 0.2252 0.7500 x4